1.
Density functional theory data (meta-GGA SCAN) for a PBEsol-optimized structure of Pu2C3.

a = 6.8897 Å, b = 6.8897 Å, c = 6.8897 Å
α = 109.47°, β = 109.47°, γ = 109.47°
Closest atoms and distances in Å follow each position.
Element x y z (fractional)
C 0.9635 0.2135 0.7500  1 C 1.41
C 0.7865 0.0365 0.7500  1 C 1.41
C 0.4635 0.7500 0.2135  1 C 1.41
Pu 0.5000 0.0965 0.5000  6 C 2.41-2.51
Pu 0.9035 0.9035 0.4035  6 C 2.41-2.51
C 0.2865 0.7500 0.0365  1 C 1.41
Pu 0.0000 0.5000 0.5965  6 C 2.41-2.51
C 0.7135 0.4635 0.2500  1 C 1.41
Pu 0.4035 0.4035 0.9035  6 C 2.41-2.51
C 0.2500 0.7865 0.5365  1 C 1.41
Pu 0.0965 0.0000 0.0000  6 C 2.41-2.51
C 0.7500 0.5365 0.7865  1 C 1.41
Pu 0.5000 0.5965 0.5000  6 C 2.41-2.51
C 0.0365 0.2500 0.2865  1 C 1.41
Pu 0.5965 0.0000 0.0000  6 C 2.41-2.51
C 0.7500 0.7135 0.9635  1 C 1.41
Pu 0.0000 0.5000 0.0965  6 C 2.41-2.51
C 0.2135 0.2500 0.4635  1 C 1.41
C 0.5365 0.2865 0.2500  1 C 1.41
C 0.2500 0.9635 0.7135  1 C 1.41

The energy of formation from the pure elements comes out at 0.618 eV per formula unit. Its total energy is -3.6744 Ry/atom. As for the space-group type: No. 220. Its crystal system is cubic.



2.
Density functional theory data (meta-GGA SCAN) for a PBEsol-optimized structure of PuUC3.

a = 6.8943 Å, b = 6.8943 Å, c = 6.8943 Å
α = 109.47°, β = 109.47°, γ = 109.47°
Closest atoms and distances in Å follow each position.
Element x y z (fractional)
C 0.7162 0.4662 0.2500  1 C 1.42
U 0.5964 0.0000 0.0000  6 C 2.41-2.50
C 0.2500 0.7838 0.5338  1 C 1.42
Pu 0.4024 0.4024 0.9024  6 C 2.41-2.51
C 0.2872 0.7500 0.0372  1 C 1.42
Pu 0.5000 0.0976 0.5000  6 C 2.41-2.51
C 0.5372 0.2872 0.2500  1 C 1.42
C 0.7838 0.0338 0.7500  1 C 1.42
C 0.7500 0.5372 0.7872  1 C 1.42
C 0.2128 0.2500 0.4628  1 C 1.42
C 0.0338 0.2500 0.2838  1 C 1.42
U 0.5000 0.5964 0.5000  6 C 2.41-2.50
Pu 0.0000 0.5000 0.5976  6 C 2.41-2.51
U 0.0000 0.5000 0.0964  6 C 2.41-2.50
Pu 0.0976 0.0000 0.0000  6 C 2.41-2.51
C 0.2500 0.9628 0.7128  1 C 1.42
C 0.4662 0.7500 0.2162  1 C 1.42
C 0.7500 0.7162 0.9662  1 C 1.42
U 0.9036 0.9036 0.4036  6 C 2.41-2.50
C 0.9628 0.2128 0.7500  1 C 1.42

The energy of formation from the pure elements comes out at 0.208 eV per formula unit. Its total energy is -3.5832 Ry/atom. As for the space-group type: No. 199. Its crystal system is cubic.



What is the energy of formation from the pure elements in the first record? 0.618 eV per formula unit



Which value of energy of formation from the pure elements does entry 2 give? 0.208 eV per formula unit



Look up the energy of formation from the pure elements of the first one. 0.618 eV per formula unit



Among the records above, which one has the lowest energy of formation from the pure elements? PuUC3